Model 1:
# NaAlInAu (PBE, relaxed)
# * calculated density: 7.226 g cm⁻³
# * calculated volume: 83 Å³ per cell
data_NaAlInAu
_space_group_name_H-M_alt 'P 1'
_space_group_IT_number 1
_space_group_name_Hall 'P 1'
_cell_length_a 4.8989
_cell_length_b 4.8989
_cell_length_c 4.8989
_cell_angle_alpha 60.00
_cell_angle_beta 60.00
_cell_angle_gamma 60.00
loop_
_atom_site_label
_atom_site_type_symbol
_atom_site_fract_x
_atom_site_fract_y
_atom_site_fract_z
Na1 Na 0.0000 0.0000 0.0000
Al1 Al 0.2500 0.2500 0.2500
In1 In 0.5000 0.5000 0.5000
Au1 Au 0.7500 0.7500 0.7500

Model 2:
# NaAlInAu (PBE, relaxed)
# * calculated density: 7.422 g cm⁻³
# * calculated volume: 81 Å³ per cell
data_NaAlInAu
_space_group_name_H-M_alt 'P 1'
_space_group_IT_number 1
_space_group_name_Hall 'P 1'
_cell_length_a 4.8554
_cell_length_b 4.8554
_cell_length_c 4.8554
_cell_angle_alpha 60.00
_cell_angle_beta 60.00
_cell_angle_gamma 60.00
loop_
_atom_site_label
_atom_site_type_symbol
_atom_site_fract_x
_atom_site_fract_y
_atom_site_fract_z
Na1 Na 0.0000 0.0000 0.0000
Al1 Al 0.5000 0.5000 0.5000
In1 In 0.2500 0.2500 0.2500
Au1 Au 0.7500 0.7500 0.7500

Model 3:
# NaAlInAu (PBE, relaxed)
# * calculated density: 7.545 g cm⁻³
# * calculated volume: 80 Å³ per cell
data_NaAlInAu
_space_group_name_H-M_alt 'P 1'
_space_group_IT_number 1
_space_group_name_Hall 'P 1'
_cell_length_a 4.8287
_cell_length_b 4.8287
_cell_length_c 4.8287
_cell_angle_alpha 60.00
_cell_angle_beta 60.00
_cell_angle_gamma 60.00
loop_
_atom_site_label
_atom_site_type_symbol
_atom_site_fract_x
_atom_site_fract_y
_atom_site_fract_z
Na1 Na 0.0000 0.0000 0.0000
Al1 Al 0.7500 0.7500 0.7500
In1 In 0.2500 0.2500 0.2500
Au1 Au 0.5000 0.5000 0.5000

The least stable of them is model 1.

Model 1:
# RbAlInAu (PBE, relaxed)
# * calculated density: 6.642 g cm⁻³
# * calculated volume: 106 Å³ per cell
data_RbAlInAu
_space_group_name_H-M_alt 'P 1'
_space_group_IT_number 1
_space_group_name_Hall 'P 1'
_cell_length_a 5.3133
_cell_length_b 5.3133
_cell_length_c 5.3133
_cell_angle_alpha 60.00
_cell_angle_beta 60.00
_cell_angle_gamma 60.00
loop_
_atom_site_label
_atom_site_type_symbol
_atom_site_fract_x
_atom_site_fract_y
_atom_site_fract_z
Rb1 Rb 0.0000 0.0000 0.0000
Al1 Al 0.5000 0.5000 0.5000
In1 In 0.2500 0.2500 0.2500
Au1 Au 0.7500 0.7500 0.7500

Model 2:
# RbAlInAu (PBE, relaxed)
# * calculated density: 7.037 g cm⁻³
# * calculated volume: 100 Å³ per cell
data_RbAlInAu
_space_group_name_H-M_alt 'P 1'
_space_group_IT_number 1
_space_group_name_Hall 'P 1'
_cell_length_a 5.2118
_cell_length_b 5.2118
_cell_length_c 5.2118
_cell_angle_alpha 60.00
_cell_angle_beta 60.00
_cell_angle_gamma 60.00
loop_
_atom_site_label
_atom_site_type_symbol
_atom_site_fract_x
_atom_site_fract_y
_atom_site_fract_z
Rb1 Rb 0.0000 0.0000 0.0000
Al1 Al 0.7500 0.7500 0.7500
In1 In 0.2500 0.2500 0.2500
Au1 Au 0.5000 0.5000 0.5000

The least stable of them is model 2.

Model 1:
# KAlTlAu (PBE, relaxed)
# * calculated density: 7.668 g cm⁻³
# * calculated volume: 101 Å³ per cell
data_KAlTlAu
_space_group_name_H-M_alt 'P 1'
_space_group_IT_number 1
_space_group_name_Hall 'P 1'
_cell_length_a 5.2313
_cell_length_b 5.2313
_cell_length_c 5.2313
_cell_angle_alpha 60.00
_cell_angle_beta 60.00
_cell_angle_gamma 60.00
loop_
_atom_site_label
_atom_site_type_symbol
_atom_site_fract_x
_atom_site_fract_y
_atom_site_fract_z
K1 K 0.0000 0.0000 0.0000
Al1 Al 0.5000 0.5000 0.5000
Tl1 Tl 0.7500 0.7500 0.7500
Au1 Au 0.2500 0.2500 0.2500

Model 2:
# KAlTlAu (PBE, relaxed)
# * calculated density: 7.892 g cm⁻³
# * calculated volume: 98 Å³ per cell
data_KAlTlAu
_space_group_name_H-M_alt 'P 1'
_space_group_IT_number 1
_space_group_name_Hall 'P 1'
_cell_length_a 5.1812
_cell_length_b 5.1812
_cell_length_c 5.1812
_cell_angle_alpha 60.00
_cell_angle_beta 60.00
_cell_angle_gamma 60.00
loop_
_atom_site_label
_atom_site_type_symbol
_atom_site_fract_x
_atom_site_fract_y
_atom_site_fract_z
K1 K 0.0000 0.0000 0.0000
Al1 Al 0.2500 0.2500 0.2500
Tl1 Tl 0.7500 0.7500 0.7500
Au1 Au 0.5000 0.5000 0.5000

The least stable of them is model 2.